# 1
The following is a DFT calculation (PBE-GGA) of LiPt3O8 after structural relaxation.

For the uncorrected formation energy, the calculation gives -0.51 eV per atom. The space-group type is R-3m.

Lattice parameters (Å, degrees): 6.262 6.263 5.926 122.00 90.00 120.00
Each line ends with the local moment (μB).
Sites, in units of the cell vectors:
O (0.739, 0.477, 0.215)  0.00
O (0.290, 0.044, 0.798)  0.10
Li (0.000, 0.000, 0.000)  0.00
O (0.261, 0.523, 0.785)  0.00
O (0.753, 0.044, 0.798)  0.10
O (0.246, 0.493, 0.202)  0.11
O (0.710, 0.956, 0.202)  0.10
Pt (0.000, 0.500, 0.000)  0.10
O (0.754, 0.507, 0.798)  0.11
Pt (0.500, 0.000, 0.000)  0.09
Pt (0.500, 0.500, 0.000)  0.10
O (0.247, 0.956, 0.202)  0.10

=====

# 2
The following is a DFT calculation (PBE-GGA) of Cs6KAu2 after structural relaxation.

For the formation energy from the elements, the calculation gives -0.117 eV/atom. The space-group type is C2/m. For the energy above the most stable polymorph in this dataset, the calculation gives 0.023 eV per atom.

Lattice parameters (Å, degrees): 7.247 8.894 14.127 65.77 75.14 65.96
Sites, in units of the cell vectors:
Cs (0.019, 0.798, 0.163)
Cs (0.299, 0.765, 0.638)
Cs (0.701, 0.235, 0.362)
Au (0.822, 0.268, 0.088)
Au (0.178, 0.732, 0.912)
Cs (0.677, 0.728, 0.918)
Cs (0.323, 0.272, 0.082)
Cs (0.981, 0.202, 0.837)
K (0.000, 0.500, 0.500)

=====

# 3
The following is a DFT calculation (PBE-GGA) of K2NpFeS4 after structural relaxation.

For the uncorrected formation energy, the calculation gives -0.88 eV per atom. The space-group type is Pmn2_1.

Lattice parameters (Å, degrees): 7.401 7.630 8.635 90.00 90.00 90.00
Each line ends with the local moment (μB).
Sites, in units of the cell vectors:
Fe (0.496, 0.805, 0.500)  3.25
Np (0.998, 0.212, 0.500)  3.79
K (0.519, 0.230, 0.248)  0.00
S (0.750, 0.979, 0.500)  0.02
S (0.271, 0.011, 0.500)  0.02
S (0.771, 0.989, 0.000)  0.02
S (0.474, 0.647, 0.278)  0.05
K (0.019, 0.770, 0.748)  0.00
S (0.974, 0.353, 0.778)  0.05
S (0.474, 0.647, 0.722)  0.05
S (0.250, 0.021, 0.000)  0.02
S (0.974, 0.353, 0.222)  0.05
K (0.019, 0.770, 0.252)  0.00
K (0.519, 0.230, 0.752)  0.00
Np (0.498, 0.788, 0.000)  3.79
Fe (0.996, 0.195, 0.000)  3.25

=====

# 4
The following is a DFT calculation (PBE-GGA) of Pm3Ho12Er after structural relaxation.

For the formation energy from the elements, the calculation gives 0.021 eV/atom. The space-group type is P4/mmm.

Lattice parameters (Å, degrees): 5.014 5.014 20.062 90.00 90.00 90.00
Sites, in units of the cell vectors:
Ho (0.000, 0.500, 0.877)
Ho (0.500, 0.000, 0.877)
Ho (0.000, 0.500, 0.374)
Er (0.000, 0.000, 0.000)
Ho (0.500, 0.500, 0.500)
Ho (0.000, 0.500, 0.626)
Ho (0.500, 0.000, 0.626)
Ho (0.500, 0.500, 0.751)
Ho (0.500, 0.500, 0.000)
Pm (0.000, 0.000, 0.249)
Pm (0.000, 0.000, 0.500)
Ho (0.500, 0.000, 0.374)
Pm (0.000, 0.000, 0.751)
Ho (0.500, 0.500, 0.249)
Ho (0.500, 0.000, 0.123)
Ho (0.000, 0.500, 0.123)

=====

Taking the records one at a time from the top gives calculated volume values of 159, 754, 488, 504 Å³ per cell.